[1]
! Zr2NiAgBi, optimized geometry, DFT PBE-GGA; values from VASP
&SYSTEM
  ibrav = 0, nat = 5, ntyp = 4
/
ATOMIC_SPECIES
Zr 91.22 Zr.upf
Ni 58.69 Ni.upf
Ag 107.87 Ag.upf
Bi 208.98 Bi.upf
CELL_PARAMETERS angstrom
4.906 0.000 0.000
0.000 4.906 0.000
0.000 0.000 4.830
ATOMIC_POSITIONS angstrom
Zr 0.000 2.453 0.000
Zr 2.453 0.000 0.000
Ni 0.000 0.000 0.000
Ag 2.453 2.453 2.415
Bi 0.000 0.000 2.415
! DFT formation energy   1.52 eV per formula unit
! DOS(E_F)   4.0 states/eV/cell
! Total magnetization   0.00 μB/f.u.
! Volume   116 Å³ per cell


[2]
! Dy2Zn16Cd, optimized geometry, DFT PBE-GGA; values from VASP
&SYSTEM
  ibrav = 0, nat = 19, ntyp = 3
/
ATOMIC_SPECIES
Dy 162.50 Dy.upf
Zn 65.41 Zn.upf
Cd 112.41 Cd.upf
CELL_PARAMETERS angstrom
4.515 2.607 4.410
-4.515 2.607 4.410
0.000 -5.214 4.410
ATOMIC_POSITIONS angstrom
Dy 0.000 0.000 0.000
Dy 0.000 0.000 4.273
Zn 0.000 -2.523 2.337
Zn -2.185 1.261 2.337
Zn -2.306 -1.331 6.565
Zn 0.000 -2.714 6.376
Zn -2.351 1.357 6.376
Zn -1.356 -2.353 8.774
Zn -2.716 0.002 8.774
Zn 2.185 1.261 2.337
Zn 1.356 -2.353 8.774
Zn -1.359 2.351 8.774
Zn 2.306 -1.331 6.565
Zn 0.000 2.663 6.565
Zn 0.000 0.000 10.196
Zn 2.351 1.357 6.376
Zn 2.716 0.002 8.774
Zn 1.359 2.351 8.774
Cd 0.000 0.000 7.465
! DFT formation energy   -4.21 eV per formula unit
! DOS(E_F)   3.7 states/eV/cell
! Total magnetization   0.00 μB/f.u.
! Volume   311 Å³ per cell


[3]
! InGeSb, optimized geometry, DFT PBE-GGA; values from VASP
&SYSTEM
  ibrav = 0, nat = 3, ntyp = 3
/
ATOMIC_SPECIES
In 114.82 In.upf
Ge 72.64 Ge.upf
Sb 121.76 Sb.upf
CELL_PARAMETERS angstrom
4.138 0.000 0.000
-2.069 3.584 0.000
0.000 0.000 5.467
ATOMIC_POSITIONS angstrom
In 0.000 0.000 0.000
Ge 0.000 2.389 1.873
Sb 2.069 1.195 3.310
! DOS(E_F)   1.4 states/eV/cell
! Relative energy among the computed polymorphs   0 meV per atom
! Total magnetization   0.00 μB/f.u.
! Volume   81 Å³ per cell


[4]
! Tl3CdMo, optimized geometry, DFT PBE-GGA; values from VASP
&SYSTEM
  ibrav = 0, nat = 5, ntyp = 3
/
ATOMIC_SPECIES
Tl 204.38 Tl.upf
Cd 112.41 Cd.upf
Mo 95.94 Mo.upf
CELL_PARAMETERS angstrom
5.463 0.000 0.000
0.000 5.463 0.000
0.000 0.000 5.463
ATOMIC_POSITIONS angstrom
Tl 0.000 0.000 2.731
Tl 0.000 2.731 0.000
Tl 2.731 0.000 0.000
Cd 2.731 2.731 2.731
Mo 0.000 0.000 0.000
! DFT formation energy   3.25 eV per formula unit
! DOS(E_F)   4.6 states/eV/cell
! Relative energy among the computed polymorphs   0 meV per atom
! Total magnetization   1.45 μB/f.u.
! Volume   163 Å³ per cell


[5]
! Th4SiPS2, optimized geometry, DFT PBE-GGA; values from VASP
&SYSTEM
  ibrav = 0, nat = 8, ntyp = 4
/
ATOMIC_SPECIES
Th 232.04 Th.upf
Si 28.09 Si.upf
P 30.97 P.upf
S 32.06 S.upf
CELL_PARAMETERS angstrom
7.097 0.000 0.000
0.000 4.157 0.000
-2.445 0.000 6.761
ATOMIC_POSITIONS angstrom
Th 1.148 0.000 1.674
Th -0.069 2.079 5.082
Th 4.721 2.079 1.679
Th 3.505 0.000 5.087
Si -1.222 0.000 3.381
P 0.000 2.079 0.000
S 3.549 0.000 0.000
S 2.326 2.079 3.381
! Final energy   -60.773 eV/cell
! DOS(E_F)   5.2 states/eV/cell
! Total magnetization   0.00 μB/f.u.
! Volume   199 Å³ per cell


[6]
! ReTeW, optimized geometry, DFT PBE-GGA; values from VASP
&SYSTEM
  ibrav = 0, nat = 3, ntyp = 3
/
ATOMIC_SPECIES
Re 186.21 Re.upf
Te 127.60 Te.upf
W 183.84 W.upf
CELL_PARAMETERS angstrom
0.000 2.482 7.257
1.602 0.000 7.257
1.602 2.482 0.000
ATOMIC_POSITIONS angstrom
Re 0.000 0.000 0.000
Te 1.602 2.482 4.542
W 1.602 2.482 9.173
! DOS(E_F)   1.8 states/eV/cell
! Relative energy among the computed polymorphs   271 meV per atom
! Total magnetization   0.00 μB/f.u.
! Volume   58 Å³ per cell


[7]
! Ca3Ac6Pr, optimized geometry, DFT PBE-GGA; values from VASP
&SYSTEM
  ibrav = 0, nat = 10, ntyp = 3
/
ATOMIC_SPECIES
Ca 40.08 Ca.upf
Ac 227.00 Ac.upf
Pr 140.91 Pr.upf
CELL_PARAMETERS angstrom
7.112 0.000 0.000
-3.556 6.159 0.000
0.000 0.000 10.081
ATOMIC_POSITIONS angstrom
Ca 0.000 0.000 0.000
Ca 0.000 4.106 0.000
Ca 3.556 2.053 0.000
Ac -1.348 2.334 3.148
Ac -2.208 3.825 6.933
Ac 2.696 0.000 3.148
Ac 1.348 2.334 6.933
Ac 4.417 0.000 6.933
Ac 2.208 3.825 3.148
Pr 0.000 0.000 5.040
! DFT formation energy   1.71 eV per formula unit
! DOS(E_F)   11.0 states/eV/cell
! Relative energy among the computed polymorphs   0 meV per atom
! Total magnetization   0.00 μB/f.u.
! Volume   442 Å³ per cell


[8]
! GeBiTe4, optimized geometry, DFT PBE-GGA; values from VASP
&SYSTEM
  ibrav = 0, nat = 12, ntyp = 3
/
ATOMIC_SPECIES
Ge 72.64 Ge.upf
Bi 208.98 Bi.upf
Te 127.60 Te.upf
CELL_PARAMETERS angstrom
4.995 -4.336 0.000
4.995 4.336 0.000
0.000 0.000 9.985
ATOMIC_POSITIONS angstrom
Ge 4.995 3.771 7.489
Ge 4.995 -3.771 2.496
Bi 4.995 0.126 2.496
Bi 4.995 -0.126 7.489
Te 2.061 1.060 7.489
Te 4.995 2.072 5.407
Te 4.995 2.072 9.571
Te 2.061 -1.060 2.496
Te 7.928 1.060 7.489
Te 4.995 -2.072 0.414
Te 4.995 -2.072 4.579
Te 7.928 -1.060 2.496
! Final energy   -41.037 eV/cell
! DOS(E_F)   6.1 states/eV/cell
! Total magnetization   0.00 μB/f.u.
! Volume   433 Å³ per cell


[9]
! Ce3SeS3, optimized geometry, DFT PBE-GGA; values from VASP
&SYSTEM
  ibrav = 0, nat = 28, ntyp = 3
/
ATOMIC_SPECIES
Ce 140.12 Ce.upf
Se 78.96 Se.upf
S 32.06 S.upf
CELL_PARAMETERS angstrom
8.630 0.000 0.000
0.000 8.630 0.000
0.000 0.000 8.630
ATOMIC_POSITIONS angstrom
Ce 0.007 2.197 7.590
Ce 1.040 4.322 2.118
Ce 2.118 1.040 4.322
Ce 2.197 7.590 0.007
Ce 3.275 4.308 6.433
Ce 4.308 6.433 3.275
Ce 4.322 2.118 1.040
Ce 5.355 8.623 6.512
Ce 6.433 3.275 4.308
Ce 6.512 5.355 8.623
Ce 7.590 0.007 2.197
Ce 8.623 6.512 5.355
Se 0.656 3.659 4.971
Se 3.659 4.971 0.656
Se 4.971 0.656 3.659
Se 7.973 7.973 7.973
S 0.663 4.977 7.967
S 1.513 7.116 2.801
S 1.518 1.518 1.518
S 2.797 7.112 5.833
S 2.801 1.513 7.116
S 3.652 3.652 3.652
S 4.977 7.967 0.663
S 5.828 5.828 5.828
S 5.833 2.797 7.112
S 7.112 5.833 2.797
S 7.116 2.801 1.513
S 7.967 0.663 4.977
! DOS(E_F)   60.3 states/eV/cell
! Relative energy among the computed polymorphs   0 meV per atom
! Total magnetization   3.99 μB/f.u.
! Volume   643 Å³ per cell


[10]
! Zn2C3, optimized geometry, DFT PBE-GGA; values from VASP
&SYSTEM
  ibrav = 0, nat = 5, ntyp = 2
/
ATOMIC_SPECIES
Zn 65.41 Zn.upf
C 12.01 C.upf
CELL_PARAMETERS angstrom
1.282 0.740 12.015
-1.282 0.740 12.015
0.000 -1.481 12.015
ATOMIC_POSITIONS angstrom
Zn 0.000 0.000 4.402
Zn 0.000 0.000 31.642
C 0.000 0.000 12.015
C 0.000 0.000 18.022
C 0.000 0.000 24.029
! DFT formation energy   4.85 eV per formula unit
! DOS(E_F)   2.1 states/eV/cell
! Relative energy among the computed polymorphs   116 meV per atom
! Total magnetization   0.00 μB/f.u.
! Volume   68 Å³ per cell


[11]
! CsInSN2, optimized geometry, DFT PBE-GGA; values from VASP
&SYSTEM
  ibrav = 0, nat = 5, ntyp = 4
/
ATOMIC_SPECIES
Cs 132.91 Cs.upf
In 114.82 In.upf
S 32.06 S.upf
N 14.01 N.upf
CELL_PARAMETERS angstrom
4.407 0.000 0.000
0.000 4.407 0.000
0.000 0.000 6.958
ATOMIC_POSITIONS angstrom
Cs 0.000 0.000 0.000
In 2.204 2.204 3.479
S 0.000 0.000 3.479
N 0.000 2.204 0.000
N 2.204 0.000 0.000
! DOS(E_F)   2.7 states/eV/cell
! Relative energy among the computed polymorphs   1094 meV per atom
! Total magnetization   2.11 μB/f.u.
! Volume   135 Å³ per cell


[12]
! ErMg10Zn3, optimized geometry, DFT PBE-GGA; values from VASP
&SYSTEM
  ibrav = 0, nat = 28, ntyp = 3
/
ATOMIC_SPECIES
Er 167.26 Er.upf
Mg 24.30 Mg.upf
Zn 65.41 Zn.upf
CELL_PARAMETERS angstrom
0.000 6.867 6.867
6.867 0.000 6.867
6.867 6.867 0.000
ATOMIC_POSITIONS angstrom
Er 3.433 3.433 3.433
Er 10.300 10.300 10.300
Mg 2.367 2.367 0.000
Mg 4.500 4.500 0.000
Mg 2.367 0.000 2.367
Mg 6.867 4.500 2.367
Mg 4.500 0.000 4.500
Mg 6.867 2.367 4.500
Mg 8.446 5.288 5.288
Mg 0.000 2.367 2.367
Mg 4.500 6.867 2.367
Mg 4.500 2.367 6.867
Mg 5.288 5.288 5.288
Mg 8.446 8.446 5.288
Mg 8.446 5.288 8.446
Mg 5.288 8.446 5.288
Mg 5.288 5.288 8.446
Mg 8.446 8.446 8.446
Mg 0.000 4.500 4.500
Mg 2.367 6.867 4.500
Mg 2.367 4.500 6.867
Mg 5.288 8.446 8.446
Zn 6.867 6.867 3.690
Zn 6.867 3.690 6.867
Zn 10.044 6.867 6.867
Zn 3.690 6.867 6.867
Zn 6.867 10.044 6.867
Zn 6.867 6.867 10.044
! DFT formation energy   0.39 eV per formula unit
! DOS(E_F)   16.8 states/eV/cell
! Total magnetization   0.00 μB/f.u.
! Volume   648 Å³ per cell


For the records above, the corresponding ρ values read 7970, 7911, 6334, 8367, 8751, 14317, 6104, 6081, 6155, 4048, 3782, 3110 kg/m³.